--- a ---
4
Lattice="5.5261 0.0000 0.0000 0.0000 5.5261 0.0000 0.0000 0.0000 5.5261" Properties=species:S:1:pos:R:3 comment="NaEu3 (PBE, relaxed)" volume_a3_per_cell=168.8 magmom_total_mub_per_cell=22.757 n_ef_per_ev_fu=18.81 pbc="T T T"
Na 0.0000 0.0000 0.0000
Eu 0.0000 2.7630 2.7630
Eu 2.7630 0.0000 2.7630
Eu 2.7630 2.7630 0.0000

--- b ---
4
Lattice="-2.0848 6.3156 3.1617 2.0848 -6.3156 3.1617 2.0848 6.3156 -3.1617" Properties=species:S:1:pos:R:3 comment="NaEu3 (PBE, relaxed)" volume_a3_per_cell=166.5 magmom_total_mub_per_cell=22.780 n_ef_per_ev_fu=3.33 pbc="T T T"
Na 0.0000 0.0000 0.0000
Eu 2.0848 2.9750 0.0317
Eu 0.0000 6.3156 0.0064
Eu 0.0000 3.3406 3.1934

Relative energies in kJ/mol of atoms: a 1.5; b 0.0

--- a ---
4
Lattice="0.0000 4.4443 4.4443 4.4443 0.0000 4.4443 4.4443 4.4443 0.0000" Properties=species:S:1:pos:R:3 comment="NaEu3 (PBE, relaxed)" volume_a3_per_cell=175.6 magmom_total_mub_per_cell=7.538 n_ef_per_ev_fu=36.09 pbc="T T T"
Na 0.0000 0.0000 0.0000
Eu 2.2221 2.2221 2.2221
Eu 4.4443 4.4443 4.4443
Eu 6.6664 6.6664 6.6664

--- b ---
4
Lattice="-2.6953 2.6953 5.9666 2.6953 -2.6953 5.9666 2.6953 2.6953 -5.9666" Properties=species:S:1:pos:R:3 comment="NaEu3 (PBE, relaxed)" volume_a3_per_cell=173.4 magmom_total_mub_per_cell=7.406 n_ef_per_ev_fu=31.93 pbc="T T T"
Na 0.0000 0.0000 0.0000
Eu 2.6953 0.0000 2.9833
Eu 0.0000 0.0000 5.9666
Eu 0.0000 2.6953 2.9833

--- c ---
4
Lattice="4.1959 0.0000 0.0000 0.0000 6.3312 0.0000 0.0000 0.0000 6.3443" Properties=species:S:1:pos:R:3 comment="NaEu3 (PBE, relaxed)" volume_a3_per_cell=168.5 magmom_total_mub_per_cell=22.365 n_ef_per_ev_fu=3.35 pbc="T T T"
Na 0.0000 0.0000 0.0000
Eu 0.0000 3.1656 3.1722
Eu 2.0979 0.0000 3.1722
Eu 2.0979 3.1656 0.0000

Relative energies in kJ/mol of atoms: a 7.1; b 4.0; c 0.0

--- a ---
4
Lattice="3.8590 0.0000 0.0000 0.0000 3.8590 0.0000 0.0000 0.0000 10.8847" Properties=species:S:1:pos:R:3 comment="NaEu (PBE, relaxed)" volume_a3_per_cell=162.1 magmom_total_mub_per_cell=15.545 n_ef_per_ev_fu=1.64 pbc="T T T"
Na 0.9648 0.9648 1.2170
Na 2.8943 2.8943 9.6677
Eu 0.9648 0.9648 6.8495
Eu 2.8943 2.8943 4.0351

--- b ---
2
Lattice="4.3603 0.0000 0.0000 0.0000 4.3603 0.0000 0.0000 0.0000 4.3603" Properties=species:S:1:pos:R:3 comment="NaEu (PBE, relaxed)" volume_a3_per_cell=82.9 magmom_total_mub_per_cell=7.558 n_ef_per_ev_fu=11.99 pbc="T T T"
Na 0.0000 0.0000 0.0000
Eu 2.1801 2.1801 2.1801

Relative energies in kJ/mol of atoms: a 0.0; b 5.3

--- a ---
4
Lattice="3.7158 0.0000 0.0000 0.0000 3.7158 0.0000 0.0000 0.0000 11.3807" Properties=species:S:1:pos:R:3 comment="NaNdEu2 (PBE, relaxed)" volume_a3_per_cell=157.1 magmom_total_mub_per_cell=14.881 n_ef_per_ev_fu=17.26 pbc="T T T"
Na 0.0000 0.0000 0.0000
Nd 0.0000 0.0000 5.6904
Eu 1.8579 1.8579 2.9447
Eu 1.8579 1.8579 8.4360

--- b ---
4
Lattice="6.2372 0.0000 0.0000 0.0000 6.2372 0.0000 0.0000 0.0000 3.9651" Properties=species:S:1:pos:R:3 comment="NaNdEu2 (PBE, relaxed)" volume_a3_per_cell=154.3 magmom_total_mub_per_cell=14.947 n_ef_per_ev_fu=12.53 pbc="T T T"
Na 0.0000 0.0000 0.0000
Nd 3.1186 3.1186 0.0000
Eu 0.0000 3.1186 1.9826
Eu 3.1186 0.0000 1.9826

--- c ---
4
Lattice="1.8839 1.0877 12.7017 -1.8839 1.0877 12.7017 0.0000 -2.1754 12.7017" Properties=species:S:1:pos:R:3 comment="NaNdEu2 (PBE, relaxed)" volume_a3_per_cell=156.2 magmom_total_mub_per_cell=15.098 n_ef_per_ev_fu=10.71 pbc="T T T"
Na 0.0000 0.0000 0.0000
Nd 0.0000 0.0000 19.0525
Eu 0.0000 0.0000 9.4462
Eu 0.0000 0.0000 28.6588

Relative energies in kJ/mol of atoms: a 1.3; b 6.6; c 0.0